[1]
LaSnHg4 | PBE-GGA | relaxed

Cell lengths 4.737, 13.791, 4.805 Å; angles 90.00, 90.00, 90.00 degrees
Space group Cmmm (No. 65)
Symmetry-distinct sites (fractional):
La (0.000, 0.000, 0.000) x2
Sn (0.000, 0.500, 0.500) x2
Hg (0.000, 0.169, 0.500) x4
Hg (0.000, 0.327, 0.000) x4

As for the formation energy: -318 meV/atom.


[2]
LaSc2Al3 | PBE-GGA | relaxed

Cell lengths 3.497, 3.497, 10.719 Å; angles 90.00, 90.00, 90.00 degrees
Space group P4/mmm (No. 123)
Symmetry-distinct sites (fractional):
La (0.000, 0.000, 0.000) x1
Sc (0.000, 0.000, 0.348) x2
Al (0.500, 0.500, 0.201) x2
Al (0.500, 0.500, 0.500) x1

As for the formation energy: -406 meV/atom.


[3]
Zn3CrH | PBE-GGA | relaxed

Cell lengths 5.023, 5.023, 5.023 Å; angles 90.00, 90.00, 90.00 degrees
Space group Pm-3m (No. 221)
Symmetry-distinct sites (fractional):
Zn (0.000, 0.000, 0.500) x3
Cr (0.000, 0.000, 0.000) x1
H (0.500, 0.500, 0.500) x1

For the uncorrected energy, the calculation gives -11.35 eV per cell.


For reference, total moment by record: 0.000 0.000 5.145 μB per formula unit.
For reference, V by record: 313.88 131.09 126.70 Å³/cell.
For reference, DOS at the Fermi energy by record: 5.0 3.7 1.9 states/eV per cell.